1.
Here is a relaxed structure of KBeVO4 from Alexandria via LeMat-Bulk. Energies are from PBE+U.

Lattice parameters (Å, degrees): 4.8685 5.3706 7.7501 90.00 122.07 90.00
Fractional coordinates of all 14 atoms:
1 K 0.6311 0.7500 0.9314
2 K 0.3689 0.2500 0.0686
3 Be 0.2231 0.7500 0.3578
4 Be 0.7769 0.2500 0.6422
5 V 0.7955 0.7500 0.4747
6 V 0.2045 0.2500 0.5253
7 O 0.0233 0.4756 0.6594
8 O 0.9767 0.9756 0.3406
9 O 0.9767 0.5244 0.3406
10 O 0.0233 0.0244 0.6594
11 O 0.4043 0.7500 0.2307
12 O 0.5957 0.2500 0.7693
13 O 0.5504 0.7500 0.5806
14 O 0.4496 0.2500 0.4194

Fermi-level density of states ... 0.000 states/eV/atom
Space-group type ... P2_1/m


2.
Here is a relaxed structure of KBe2VO6 from Alexandria via LeMat-Bulk. Energies are from PBE+U.

Lattice parameters (Å, degrees): 5.7415 7.1395 7.1395 102.65 74.69 74.69
Fractional coordinates of all 20 atoms:
1 K 0.2500 0.8963 0.1037
2 K 0.7500 0.1037 0.8963
3 Be 0.4072 0.7227 0.5673
4 Be 0.0928 0.4327 0.2773
5 Be 0.5928 0.2773 0.4327
6 Be 0.9072 0.5673 0.7227
7 V 0.2500 0.2031 0.7969
8 V 0.7500 0.7969 0.2031
9 O 0.2757 0.9433 0.7382
10 O 0.2243 0.2618 0.0567
11 O 0.7243 0.0567 0.2618
12 O 0.7757 0.7382 0.9433
13 O 0.4841 0.7608 0.3450
14 O 0.0159 0.6550 0.2392
15 O 0.5159 0.2392 0.6550
16 O 0.9841 0.3450 0.7608
17 O 0.1886 0.5982 0.5886
18 O 0.3114 0.4114 0.4018
19 O 0.8114 0.4018 0.4114
20 O 0.6886 0.5886 0.5982

Fermi-level density of states ... 0.000 states/eV/atom
Space-group type ... C2/c


3.
Here is a relaxed structure of K2BeVO4 from Alexandria via LeMat-Bulk. Energies are from PBE+U.

Lattice parameters (Å, degrees): 4.7170 6.3162 9.8706 84.88 76.18 68.07
Each line ends with the local moment (μB).
Fractional coordinates of all 16 atoms:
1 K 0.1730 0.0000 0.6539  0.00
2 K 0.8270 0.0000 0.3461  0.00
3 K 0.5770 0.5000 0.8461  0.00
4 K 0.9230 0.5000 0.1539  0.00
5 Be 0.7500 0.5000 0.5000  0.00
6 Be 0.0000 0.0000 0.0000  0.00
7 V 0.2500 0.5000 0.5000  0.96
8 V 0.5000 0.0000 0.0000  0.96
9 O 0.2649 0.8334 0.0876  0.00
10 O 0.1859 0.1666 0.9124  0.00
11 O 0.9017 0.8334 0.9124  0.00
12 O 0.6475 0.1666 0.0876  0.00
13 O 0.4851 0.6666 0.4124  0.00
14 O 0.5641 0.3334 0.5876  0.00
15 O 0.8483 0.6666 0.5876  0.00
16 O 0.1025 0.3334 0.4124  0.00

Space-group type ... Fddd


4.
Here is a relaxed structure of K2Be2WO6 from Alexandria via LeMat-Bulk. Energies are from PBE+U.

Lattice parameters (Å, degrees): 5.3949 5.3949 6.4111 90.00 90.00 120.00
Fractional coordinates of all 11 atoms:
1 K 0.6667 0.3333 0.6815
2 K 0.3333 0.6667 0.3185
3 Be 0.3333 0.6667 0.8306
4 Be 0.6667 0.3333 0.1694
5 W 0.0000 0.0000 0.0000
6 O 0.1694 0.3389 0.8220
7 O 0.6611 0.8306 0.8220
8 O 0.1694 0.8306 0.8220
9 O 0.8306 0.6611 0.1780
10 O 0.3389 0.1694 0.1780
11 O 0.8306 0.1694 0.1780

Fermi-level density of states ... 0.000 states/eV/atom
Space-group type ... P-3m1


5.
Here is a relaxed structure of KBeWO2 from Alexandria via LeMat-Bulk. Energies are from PBE+U.

Lattice parameters (Å, degrees): 4.4661 4.4661 6.3537 90.00 90.00 90.00
Each line ends with the local moment (μB).
Fractional coordinates of all 5 atoms:
1 Be 0.5000 0.5000 0.5000  0.00
2 K 0.0000 0.0000 0.0000  -0.08
3 O 0.0000 0.5000 0.0000  0.01
4 O 0.5000 0.0000 0.0000  0.01
5 W 0.0000 0.0000 0.5000  2.12

Fermi-level density of states ... 1.274 states/eV/atom
Space-group type ... P4/mmm


no.,DFT total energy (eV per atom),magnetization (Bohr magnetons per cell)
1,-6.58,0.000
2,-6.51,0.000
3,-6.13,2.000
4,-6.42,0.000
5,-2.32,2.441